Here is an optimized crystal structure of SrPr2Zn8 from the Alexandria database. Energies are from GGA-PBE.

Unit cell a=7.9557 b=15.3080 c=4.9736 alpha=90.00 beta=128.62 gamma=90.00
Space group C2/m (No. 12)
Asymmetric unit:
Sr 0.0000 0.0000 0.0000
Pr 0.0000 0.3068 0.5000
Zn 0.0000 0.2004 0.0000
Zn 0.0004 0.5000 0.2446
Zn 0.2271 0.1257 0.7270

Results
**M_tot**: 0.00 μB/cell
**Formation enthalpy at 0 K**: -2.78 eV/f.u.
**Volume**: 21.5 Å³ per atom